No. 1
# K2PrHoSe4 (GGA-PBE, optimized geometry)
# formation energy without anion corrections	-13.99	eV/f.u.
data_K2PrHoSe4
_chemical_formula_sum 'K2 Pr1 Ho1 Se4'
_cell_length_a 7.4330
_cell_length_b 4.2901
_cell_length_c 8.0874
_cell_angle_alpha 90.00
_cell_angle_beta 107.82
_cell_angle_gamma 90.00
_space_group_name_H-M_alt 'P 1 2/m 1'
_space_group_IT_number 10
_space_group_name_Hall '-P 2y'
loop_
_atom_site_label
_atom_site_type_symbol
_atom_site_fract_x
_atom_site_fract_y
_atom_site_fract_z
_atom_site_occupancy
K1 K 0.0000 0.0000 0.0000 1
K2 K 0.5000 0.5000 0.0000 1
Pr1 Pr 0.0000 0.5000 0.5000 1
Ho1 Ho 0.5000 0.0000 0.5000 1
Se1 Se 0.2465 0.0000 0.7102 1
Se2 Se 0.2741 0.5000 0.2942 1


No. 2
# TlSnICl2 (GGA-PBE, optimized geometry)
# formation energy without anion corrections	-4.18	eV/f.u.
# energy relative to the lowest polymorph listed for this composition	0	meV per atom
data_TlSnICl2
_chemical_formula_sum 'Tl2 Sn2 I2 Cl4'
_cell_length_a 7.4298
_cell_length_b 5.3556
_cell_length_c 9.5395
_cell_angle_alpha 90.00
_cell_angle_beta 107.21
_cell_angle_gamma 90.00
_space_group_name_H-M_alt 'P 1 21/m 1'
_space_group_IT_number 11
_space_group_name_Hall '-P 2yb'
loop_
_atom_site_label
_atom_site_type_symbol
_atom_site_fract_x
_atom_site_fract_y
_atom_site_fract_z
_atom_site_occupancy
Tl1 Tl 0.2329 0.2500 0.0114 1
Sn1 Sn 0.3031 0.2500 0.5833 1
I1 I 0.0466 0.7500 0.7428 1
Cl1 Cl 0.4239 0.7500 0.5576 1
Cl2 Cl 0.4439 0.7500 0.1540 1


No. 3
# FeAgTe2N (GGA-PBE, optimized geometry)
# formation energy without anion corrections	1.19	eV/f.u.
# energy relative to the lowest polymorph listed for this composition	0	meV per atom
data_FeAgTe2N
_chemical_formula_sum 'Fe1 Ag1 Te2 N1'
_cell_length_a 5.3779
_cell_length_b 5.3779
_cell_length_c 3.3800
_cell_angle_alpha 90.00
_cell_angle_beta 90.00
_cell_angle_gamma 90.00
_space_group_name_H-M_alt 'P 4/m m m'
_space_group_IT_number 123
_space_group_name_Hall '-P 4 2'
loop_
_atom_site_label
_atom_site_type_symbol
_atom_site_fract_x
_atom_site_fract_y
_atom_site_fract_z
_atom_site_occupancy
Fe1 Fe 0.0000 0.0000 0.0000 1
Ag1 Ag 0.5000 0.5000 0.5000 1
Te1 Te 0.0000 0.5000 0.0000 1
N1 N 0.0000 0.0000 0.5000 1


No. 4
# Tb2DyTe (GGA-PBE, optimized geometry)
# formation energy without anion corrections	-2.24	eV/f.u.
# energy relative to the lowest polymorph listed for this composition	97	meV per atom
data_Tb2DyTe
_chemical_formula_sum 'Tb2 Dy1 Te1'
_cell_length_a 3.8742
_cell_length_b 3.8742
_cell_length_c 7.8939
_cell_angle_alpha 90.00
_cell_angle_beta 90.00
_cell_angle_gamma 90.00
_space_group_name_H-M_alt 'P 4/m m m'
_space_group_IT_number 123
_space_group_name_Hall '-P 4 2'
loop_
_atom_site_label
_atom_site_type_symbol
_atom_site_fract_x
_atom_site_fract_y
_atom_site_fract_z
_atom_site_occupancy
Tb1 Tb 0.0000 0.0000 0.2250 1
Dy1 Dy 0.5000 0.5000 0.5000 1
Te1 Te 0.5000 0.5000 0.0000 1


No. 5
# TaCSe2N (GGA-PBE, optimized geometry)
# formation energy without anion corrections	4.97	eV/f.u.
# energy relative to the lowest polymorph listed for this composition	0	meV per atom
data_TaCSe2N
_chemical_formula_sum 'Ta1 C1 Se2 N1'
_cell_length_a 5.5407
_cell_length_b 5.5407
_cell_length_c 2.5709
_cell_angle_alpha 90.00
_cell_angle_beta 90.00
_cell_angle_gamma 90.00
_space_group_name_H-M_alt 'P 4/m m m'
_space_group_IT_number 123
_space_group_name_Hall '-P 4 2'
loop_
_atom_site_label
_atom_site_type_symbol
_atom_site_fract_x
_atom_site_fract_y
_atom_site_fract_z
_atom_site_occupancy
Ta1 Ta 0.0000 0.0000 0.0000 1
C1 C 0.5000 0.5000 0.5000 1
Se1 Se 0.0000 0.5000 0.5000 1
N1 N 0.5000 0.5000 0.0000 1


No. 6
# TbDyScAl (GGA-PBE, optimized geometry)
# raw total energy	-4.935	eV/atom
data_TbDyScAl
_chemical_formula_sum 'Tb4 Dy4 Sc4 Al4'
_cell_length_a 7.4081
_cell_length_b 7.4081
_cell_length_c 7.4081
_cell_angle_alpha 90.00
_cell_angle_beta 90.00
_cell_angle_gamma 90.00
_space_group_name_H-M_alt 'F -4 3 m'
_space_group_IT_number 216
_space_group_name_Hall 'F -4 2 3'
loop_
_atom_site_label
_atom_site_type_symbol
_atom_site_fract_x
_atom_site_fract_y
_atom_site_fract_z
_atom_site_occupancy
Tb1 Tb 0.0000 0.0000 0.0000 1
Dy1 Dy 0.0000 0.0000 0.5000 1
Sc1 Sc 0.2500 0.2500 0.2500 1
Al1 Al 0.2500 0.2500 0.7500 1


No. 7
# HfTi2Sn (GGA-PBE, optimized geometry)
# raw total energy	-7.104	eV/atom
data_HfTi2Sn
_chemical_formula_sum 'Hf4 Ti8 Sn4'
_cell_length_a 7.6762
_cell_length_b 7.6762
_cell_length_c 5.7036
_cell_angle_alpha 90.00
_cell_angle_beta 90.00
_cell_angle_gamma 90.00
_space_group_name_H-M_alt 'I -4 2 d'
_space_group_IT_number 122
_space_group_name_Hall 'I -4 2bw'
loop_
_atom_site_label
_atom_site_type_symbol
_atom_site_fract_x
_atom_site_fract_y
_atom_site_fract_z
_atom_site_occupancy
Hf1 Hf 0.0000 0.0000 0.0000 1
Ti1 Ti 0.2411 0.2500 0.6250 1
Sn1 Sn 0.0000 0.0000 0.5000 1


No. 8
# Cu2Rh3 (GGA-PBE, optimized geometry)
# energy relative to the lowest polymorph listed for this composition	66	meV per atom
data_Cu2Rh3
_chemical_formula_sum 'Cu16 Rh24'
_cell_length_a 8.9876
_cell_length_b 12.8705
_cell_length_c 4.7077
_cell_angle_alpha 90.00
_cell_angle_beta 90.00
_cell_angle_gamma 90.00
_space_group_name_H-M_alt 'F d d 2'
_space_group_IT_number 43
_space_group_name_Hall 'F 2 -2d'
loop_
_atom_site_label
_atom_site_type_symbol
_atom_site_fract_x
_atom_site_fract_y
_atom_site_fract_z
_atom_site_occupancy
Cu1 Cu 0.0189 0.2966 0.0000 1
Rh1 Rh 0.0000 0.0000 0.4592 1
Rh2 Rh 0.0363 0.4015 0.4697 1


No. 9
# LiNiSe2 (GGA-PBE, optimized geometry)
# formation energy without anion corrections	-1.12	eV/f.u.
data_LiNiSe2
_chemical_formula_sum 'Li2 Ni2 Se4'
_cell_length_a 6.6850
_cell_length_b 6.6851
_cell_length_c 2.8042
_cell_angle_alpha 90.00
_cell_angle_beta 90.71
_cell_angle_gamma 90.00
_space_group_name_H-M_alt 'C 1 2/m 1'
_space_group_IT_number 12
_space_group_name_Hall '-C 2y'
loop_
_atom_site_label
_atom_site_type_symbol
_atom_site_fract_x
_atom_site_fract_y
_atom_site_fract_z
_atom_site_occupancy
Li1 Li 0.0000 0.0000 0.0000 1
Ni1 Ni 0.0000 0.5000 0.0000 1
Se1 Se 0.2500 0.2500 0.5000 1


No. 10
# KH4 (GGA-PBE, optimized geometry)
# energy relative to the lowest polymorph listed for this composition	0	meV per atom
data_KH4
_chemical_formula_sum 'K2 H8'
_cell_length_a 4.6774
_cell_length_b 4.7268
_cell_length_c 8.0944
_cell_angle_alpha 73.74
_cell_angle_beta 73.55
_cell_angle_gamma 60.40
_space_group_name_H-M_alt 'P -1'
_space_group_IT_number 2
_space_group_name_Hall '-P 1'
loop_
_atom_site_label
_atom_site_type_symbol
_atom_site_fract_x
_atom_site_fract_y
_atom_site_fract_z
_atom_site_occupancy
K1 K 0.1657 0.3299 0.2504 1
H1 H 0.1499 0.9916 0.8010 1
H2 H 0.1859 0.0218 0.6952 1
H3 H 0.4808 0.6533 0.3002 1
H4 H 0.4887 0.3110 0.8056 1


No. 11
# La2RhCl2 (GGA-PBE, optimized geometry)
# formation energy without anion corrections	-7.91	eV/f.u.
data_La2RhCl2
_chemical_formula_sum 'La4 Rh2 Cl4'
_cell_length_a 7.2110
_cell_length_b 4.1624
_cell_length_c 11.1609
_cell_angle_alpha 90.00
_cell_angle_beta 103.69
_cell_angle_gamma 90.00
_space_group_name_H-M_alt 'C 1 2/m 1'
_space_group_IT_number 12
_space_group_name_Hall '-C 2y'
loop_
_atom_site_label
_atom_site_type_symbol
_atom_site_fract_x
_atom_site_fract_y
_atom_site_fract_z
_atom_site_occupancy
La1 La 0.2233 0.0000 0.1550 1
Rh1 Rh 0.0000 0.5000 0.0000 1
Cl1 Cl 0.0502 0.0000 0.6823 1


Looking at total magnetic moment for the records above, in order, we have 0.0, 0.0, 0.0, 0.0, 0.0, 0.6, 0.0, 0.0, 0.0, 0.0, 0.0 Bohr magnetons per cell.